# LuCoSiMo, relaxed, DFT PBE
# Offset from the most stable computed form = 320 meV/atom
# Crystal system = cubic
data_LuCoSiMo
_chemical_formula_sum 'Lu4 Co4 Si4 Mo4'
_space_group_name_H-M_alt 'F -4 3 m'
_space_group_IT_number 216
_space_group_name_Hall 'F -4 2 3'
_cell_length_a 6.368
_cell_length_b 6.368
_cell_length_c 6.368
_cell_angle_alpha 90.00
_cell_angle_beta 90.00
_cell_angle_gamma 90.00
loop_
_atom_site_label
_atom_site_fract_x
_atom_site_fract_y
_atom_site_fract_z
_atom_site_occupancy
Lu1 0.000 0.000 0.000 1
Co1 0.000 0.000 0.500 1
Si1 0.250 0.250 0.250 1
Mo1 0.250 0.250 0.750 1